Density functional theory data (PBE-GGA) for crystalline LaVCo2Pb at its relaxed geometry.

total DFT energy (no corrections): -0.3470 Ry/atom
E_form: 1.67 eV per atom
SG: P4/mmm (123)

Lattice parameters (Å, degrees): 4.8041 5.9317 4.8041 90.00 90.00 90.00
Each line ends with the local moment (μB).
Fractional coordinates of all 5 atoms:
La  0.0000  0.5000  0.0000  0.12
V  0.5000  0.5000  0.5000  -0.18
Co  0.5000  0.0000  0.0000  1.77
Co  0.0000  0.0000  0.5000  1.60
Pb  0.0000  0.0000  0.0000  -0.01



Density functional theory data (PBE-GGA) for crystalline La2YCoPb at its relaxed geometry.

total DFT energy (no corrections): -0.4264 Ry/atom
E_form: -0.37 eV per atom
SG: P4/mmm (123)

Lattice parameters (Å, degrees): 5.1684 5.1684 5.4542 90.00 90.00 90.00
Fractional coordinates of all 5 atoms:
Pb  0.5000  0.5000  0.5000
La  0.0000  0.5000  0.0000
Y  0.0000  0.0000  0.5000
Co  0.0000  0.0000  0.0000
La  0.5000  0.0000  0.0000



Density functional theory data (PBE-GGA) for crystalline La2ZnCoPb at its relaxed geometry.

total DFT energy (no corrections): -0.3477 Ry/atom
E_form: -0.34 eV per atom
SG: P4/mmm (123)

Lattice parameters (Å, degrees): 5.2468 5.2468 4.7705 90.00 90.00 90.00
Fractional coordinates of all 5 atoms:
La  0.5000  0.0000  0.0000
Pb  0.5000  0.5000  0.5000
Zn  0.0000  0.0000  0.5000
Co  0.0000  0.0000  0.0000
La  0.0000  0.5000  0.0000



Density functional theory data (PBE-GGA) for crystalline LaCo3Pd at its relaxed geometry.

total DFT energy (no corrections): -0.4176 Ry/atom
E_form: 0.61 eV per atom
SG: Pm-3m (221)

Lattice parameters (Å, degrees): 4.6510 4.6510 4.6510 90.00 90.00 90.00
Each line ends with the local moment (μB).
Fractional coordinates of all 5 atoms:
Co  0.0000  0.5000  0.0000  1.84
Co  0.0000  0.0000  0.5000  2.21
Co  0.5000  0.0000  0.0000  1.42
La  0.5000  0.5000  0.5000  -0.22
Pd  0.0000  0.0000  0.0000  0.45



Density functional theory data (PBE-GGA) for crystalline LaCoPd2 at its relaxed geometry.

total DFT energy (no corrections): -0.4189 Ry/atom
E_form: -0.09 eV per atom
SG: I-42d (122)

Lattice parameters (Å, degrees): 4.1310 4.1310 9.6612 77.66 77.66 90.00
Each line ends with the local moment (μB).
Fractional coordinates of all 8 atoms:
Co  0.5000  0.5000  0.0000  1.15
Co  0.2500  0.7500  0.5000  1.15
Pd  0.1679  0.6250  0.2500  0.08
Pd  0.3750  0.4179  0.7500  0.08
Pd  0.5821  0.1250  0.2500  0.07
La  0.7500  0.2500  0.5000  -0.10
La  0.0000  0.0000  0.0000  -0.10
Pd  0.8750  0.8321  0.7500  0.08



Density functional theory data (PBE-GGA) for crystalline La8CoPd2 at its relaxed geometry.

total DFT energy (no corrections): -0.4041 Ry/atom
E_form: -0.32 eV per atom
SG: C2/m (12)

Lattice parameters (Å, degrees): 3.9883 9.0763 9.7591 94.24 101.79 90.00
Fractional coordinates of all 11 atoms:
La  0.5940  0.5268  0.1879
La  0.6535  0.9834  0.3070
La  0.0069  0.1999  0.0138
Pd  0.1689  0.7378  0.3377
La  0.2208  0.3373  0.4417
Co  0.5000  0.0000  0.0000
La  0.9931  0.8001  0.9862
Pd  0.8311  0.2622  0.6623
La  0.3465  0.0166  0.6930
La  0.7792  0.6627  0.5583
La  0.4060  0.4732  0.8121



Number 1: N(E_F) 11.15 states/eV/cell. Number 2: N(E_F) 2.94 states/eV/cell. Number 3: N(E_F) 3.84 states/eV/cell. Number 4: N(E_F) 4.96 states/eV/cell. Number 5: N(E_F) 7.87 states/eV/cell. Number 6: N(E_F) 13.19 states/eV/cell.